A plane-wave DFT calculation with GGA-PBE was carried out for NbRuSe2N after structural relaxation.

Results
The space-group type is No. 123. The raw formation energy comes out at 0.473 eV/atom. Its spin magnetization is 1.798 μB per formula unit. Its density of states at the Fermi level is 5.50 states/eV/cell. As for the total energy: -32.3 eV/f.u.

Cell lengths 5.035, 5.035, 3.630 Å; angles 90.00, 90.00, 90.00 degrees
Last column: magnetic moment on the atom in μB.
Sites, in units of the cell vectors:
N1 0.000 0.000 0.500  -0.02
Nb1 0.500 0.500 0.500  1.82
Ru1 0.000 0.000 0.000  -0.09
Se1 0.000 0.500 0.000  -0.10
Se2 0.500 0.000 0.000  -0.10

=====

A plane-wave DFT calculation with GGA-PBE was carried out for Dy8Al2Hg after structural relaxation.

Results
The space-group type is No. 12. The value obtained for the formation energy from the elements is -2.1 eV/f.u. Its spin magnetization is 0.000 μB per formula unit. Its density of states at the Fermi level is 12.01 states/eV/cell. As for the total energy: -46.7 eV/f.u.

Cell lengths 5.071, 6.988, 9.384 Å; angles 103.54, 105.67, 90.00 degrees
Sites, in units of the cell vectors:
Dy1 0.405 0.535 0.810
Dy2 0.201 0.298 0.403
Dy3 0.799 0.702 0.597
Dy4 0.663 0.956 0.326
Dy5 0.976 0.242 0.952
Dy6 0.595 0.465 0.190
Dy7 0.337 0.044 0.674
Dy8 0.024 0.758 0.048
Al1 0.191 0.725 0.381
Al2 0.809 0.275 0.619
Hg1 0.500 0.000 0.000

=====

A plane-wave DFT calculation with GGA-PBE was carried out for SiTeBr2 after structural relaxation.

Results
The space-group type is No. 6. The raw formation energy comes out at -0.133 eV/atom. Its spin magnetization is 0.000 μB per formula unit. Its density of states at the Fermi level is 0.95 states/eV/cell. As for the total energy: -12.4 eV/f.u.

Cell lengths 3.976, 6.772, 7.612 Å; angles 44.85, 90.00, 90.00 degrees
Sites, in units of the cell vectors:
Te1 0.500 0.666 0.735
Br1 0.500 0.259 0.237
Br2 0.000 0.048 0.931
Si1 0.000 0.527 0.597

=====

A plane-wave DFT calculation with GGA-PBE was carried out for DyTmAgIr after structural relaxation.

Results
The space-group type is No. 216. The value obtained for the formation energy from the elements is -2.5 eV/f.u. Its spin magnetization is 0.000 μB per formula unit. Its density of states at the Fermi level is 2.98 states/eV/cell. As for the total energy: -23.3 eV/f.u.

Cell lengths 4.939, 4.939, 4.939 Å; angles 60.00, 60.00, 60.00 degrees
Sites, in units of the cell vectors:
Ag1 0.250 0.250 0.250
Ir1 0.750 0.750 0.750
Tm1 0.500 0.500 0.500
Dy1 0.000 0.000 0.000

=====

A plane-wave DFT calculation with GGA-PBE was carried out for Pm2PrZn2Si2 after structural relaxation.

Results
The space-group type is No. 166. The raw formation energy comes out at -0.472 eV/atom. Its spin magnetization is 0.635 μB per formula unit. Its density of states at the Fermi level is 7.01 states/eV/cell. As for the total energy: -31.0 eV/f.u.

Cell lengths 4.134, 4.134, 11.844 Å; angles 79.95, 79.95, 60.00 degrees
Last column: magnetic moment on the atom in μB.
Sites, in units of the cell vectors:
Pm1 0.878 0.878 0.365  0.11
Pm2 0.122 0.122 0.635  0.11
Pr1 0.000 0.000 0.000  0.02
Zn1 0.395 0.395 0.814  0.01
Zn2 0.605 0.605 0.186  0.01
Si1 0.270 0.270 0.189  0.00
Si2 0.730 0.730 0.811  0.00

=====

A plane-wave DFT calculation with GGA-PBE was carried out for BAsH2 after structural relaxation.

Results
The space-group type is No. 63. Its spin magnetization is 0.000 μB per formula unit. As for the total energy: -18.1 eV/f.u.

Cell lengths 7.660, 7.660, 3.961 Å; angles 90.00, 90.00, 153.86 degrees
Sites, in units of the cell vectors:
B1 0.627 0.373 0.750
B2 0.373 0.627 0.250
H1 0.330 0.670 0.994
H2 0.330 0.670 0.506
H3 0.670 0.330 0.494
H4 0.670 0.330 0.006
As1 0.052 0.948 0.750
As2 0.948 0.052 0.250